(1)
Below is a relaxed Nd6Al43Mo4 crystal, with properties calculated at the PBE level.

POSCAR file:
```
Nd6Al43Mo4
1.0
11.103 0.000 0.000
-5.551 9.615 0.000
0.000 0.000 17.902
Nd Al Mo
12 86 8
Direct
0.000 0.471 0.095
0.000 0.471 0.405
0.000 0.529 0.595
0.000 0.529 0.905
0.471 0.000 0.095
0.471 0.000 0.405
0.471 0.471 0.595
0.471 0.471 0.905
0.529 0.000 0.595
0.529 0.000 0.905
0.529 0.529 0.095
0.529 0.529 0.405
0.000 0.147 0.750
0.000 0.158 0.115
0.000 0.158 0.385
0.000 0.251 0.531
0.000 0.251 0.969
0.000 0.749 0.031
0.000 0.749 0.469
0.000 0.842 0.615
0.000 0.842 0.885
0.000 0.853 0.250
0.147 0.000 0.750
0.147 0.147 0.250
0.147 0.551 0.250
0.147 0.596 0.750
0.158 0.000 0.115
0.158 0.000 0.385
0.158 0.158 0.615
0.158 0.158 0.885
0.158 0.393 0.665
0.158 0.393 0.835
0.158 0.765 0.165
0.158 0.765 0.335
0.235 0.393 0.165
0.235 0.393 0.335
0.235 0.842 0.665
0.235 0.842 0.835
0.246 0.493 0.000
0.246 0.493 0.500
0.246 0.754 0.000
0.246 0.754 0.500
0.251 0.000 0.531
0.251 0.000 0.969
0.251 0.251 0.031
0.251 0.251 0.469
0.333 0.667 0.127
0.333 0.667 0.373
0.333 0.667 0.627
0.333 0.667 0.873
0.393 0.158 0.665
0.393 0.158 0.835
0.393 0.235 0.165
0.393 0.235 0.335
0.404 0.551 0.750
0.404 0.853 0.250
0.449 0.596 0.250
0.449 0.853 0.750
0.493 0.246 0.000
0.493 0.246 0.500
0.507 0.754 0.000
0.507 0.754 0.500
0.551 0.147 0.250
0.551 0.404 0.750
0.596 0.147 0.750
0.596 0.449 0.250
0.607 0.765 0.665
0.607 0.765 0.835
0.607 0.842 0.165
0.607 0.842 0.335
0.667 0.333 0.127
0.667 0.333 0.373
0.667 0.333 0.627
0.667 0.333 0.873
0.749 0.000 0.031
0.749 0.000 0.469
0.749 0.749 0.531
0.749 0.749 0.969
0.754 0.246 0.000
0.754 0.246 0.500
0.754 0.507 0.000
0.754 0.507 0.500
0.765 0.158 0.165
0.765 0.158 0.335
0.765 0.607 0.665
0.765 0.607 0.835
0.842 0.000 0.615
0.842 0.000 0.885
0.842 0.235 0.665
0.842 0.235 0.835
0.842 0.607 0.165
0.842 0.607 0.335
0.842 0.842 0.115
0.842 0.842 0.385
0.853 0.000 0.250
0.853 0.404 0.250
0.853 0.449 0.750
0.853 0.853 0.750
0.000 0.000 0.000
0.000 0.000 0.500
0.000 0.268 0.250
0.000 0.732 0.750
0.268 0.000 0.250
0.268 0.268 0.750
0.732 0.000 0.750
0.732 0.732 0.250
```

Computed properties:
Total DFT energy (no corrections) (Ha/atom): -0.1731
Total moment (μB per cell): 0.0


(2)
Below is a relaxed K2HgHCl5 crystal, with properties calculated at the PBE level.

POSCAR file:
```
K2HgHCl5
1.0
2.218 -8.241 0.000
2.218 8.241 0.000
0.000 0.000 13.600
K Hg H Cl
4 2 2 10
Direct
0.126 0.874 0.500
0.130 0.870 0.161
0.870 0.130 0.661
0.874 0.126 0.000
0.170 0.830 0.856
0.830 0.170 0.356
0.420 0.580 0.151
0.580 0.420 0.651
0.025 0.975 0.843
0.314 0.686 0.494
0.319 0.681 0.836
0.322 0.678 0.188
0.496 0.504 0.097
0.504 0.496 0.597
0.678 0.322 0.688
0.681 0.319 0.336
0.686 0.314 0.994
0.975 0.025 0.343
```

Computed properties:
Total DFT energy (no corrections) (Ha/atom): -0.1051
Total moment (μB per cell): 0.0


(3)
Below is a relaxed BaGdRh crystal, with properties calculated at the PBE level.

POSCAR file:
```
BaGdRh
1.0
-1.825 1.825 7.055
1.825 -1.825 7.055
1.825 1.825 -7.055
Ba Gd Rh
1 1 1
Direct
0.000 0.000 0.000
0.250 0.250 0.000
0.660 0.660 0.000
```

Computed properties:
Total DFT energy (no corrections) (Ha/atom): -0.2976
Total moment (μB per cell): 7.1